{
  "formula": "Al2SiRu",
  "functional": "meta-GGA SCAN",
  "state": "single point on PBEsol structure",
  "final_energy_ev_per_atom": -15.5085,
  "vol_a3_per_atom": 13.6,
  "raw_formation_energy_ev_per_fu": -1.69,
  "lattice_angstrom": [[3.1999, 0.0000, 0.0000], [0.0000, 3.1999, 0.0000], [0.0000, 0.0000, 5.3065]],
  "species": ["Al", "Si", "Al", "Ru"],
  "fractional_positions": [[0.0000, 0.0000, 0.7511], [0.5000, 0.5000, 0.5000], [0.0000, 0.0000, 0.2489], [0.5000, 0.5000, 0.0000]]
}

***

{
  "formula": "Al2SiRu",
  "functional": "meta-GGA SCAN",
  "state": "single point on PBEsol structure",
  "final_energy_ev_per_atom": -15.4735,
  "vol_a3_per_atom": 13.8,
  "raw_formation_energy_ev_per_fu": -1.55,
  "lattice_angstrom": [[2.9215, 0.0000, 0.0000], [0.0000, 4.4685, -0.0091], [-1.4607, -0.6487, 4.2428]],
  "species": ["Ru", "Si", "Al", "Al"],
  "fractional_positions": [[0.5051, 0.5078, 0.0102], [0.2373, 0.7339, 0.4745], [0.7588, 0.2625, 0.5176], [0.9988, 0.9958, 0.9976]]
}

***

{
  "formula": "Sm8Al53Si17Ru12",
  "functional": "meta-GGA SCAN",
  "state": "single point on PBEsol structure",
  "final_energy_ev_per_atom": -15.5837,
  "vol_a3_per_atom": 16.6,
  "raw_formation_energy_ev_per_fu": -47.97,
  "lattice_angstrom": [[11.4027, -0.0019, -0.0026], [0.0014, 11.3962, 0.0035], [0.0027, 0.0169, 11.4781]],
  "species": ["Al", "Al", "Si", "Sm", "Al", "Si", "Al", "Sm", "Al", "Al", "Ru", "Al", "Al", "Sm", "Si", "Al", "Al", "Si", "Al", "Ru", "Al", "Al", "Si", "Al", "Si", "Si", "Si", "Ru", "Al", "Ru", "Ru", "Al", "Si", "Al", "Al", "Ru", "Al", "Al", "Al", "Al", "Ru", "Si", "Al", "Al", "Al", "Al", "Si", "Si", "Al", "Si", "Al", "Al", "Al", "Al", "Al", "Al", "Al", "Si", "Sm", "Ru", "Al", "Al", "Al", "Al", "Al", "Sm", "Al", "Sm", "Si", "Al", "Si", "Si", "Ru", "Al", "Al", "Al", "Al", "Ru", "Al", "Al", "Al", "Sm", "Ru", "Al", "Sm", "Al", "Ru", "Al", "Al", "Al"],
  "fractional_positions": [[0.3200, 0.4995, 0.8863], [0.8750, 0.3620, 0.1269], [0.8509, 0.1581, 0.0028], [0.6778, 0.3224, 0.3215], [0.6755, 0.8866, 0.4995], [0.0005, 0.4992, 0.9995], [0.8730, 0.1269, 0.3618], [0.3219, 0.6777, 0.3211], [0.5001, 0.3219, 0.1134], [0.6392, 0.1248, 0.8738], [0.3038, 0.6962, 0.0007], [0.1262, 0.3609, 0.1268], [0.1270, 0.8717, 0.6332], [0.6779, 0.6778, 0.3211], [0.1567, 0.0030, 0.8386], [0.6773, 0.4993, 0.8868], [0.8744, 0.6377, 0.1266], [0.1513, 0.0057, 0.1639], [0.3592, 0.1234, 0.8732], [0.3042, 0.0003, 0.6932], [0.5001, 0.6786, 0.1133], [0.4998, 0.3193, 0.8862], [0.4996, 0.2608, 0.5000], [0.1139, 0.3237, 0.5002], [0.9966, 0.1543, 0.1617], [0.5000, 0.5000, 0.2571], [0.8476, 0.0016, 0.1657], [0.6965, 0.6950, 0.0005], [0.6364, 0.1252, 0.1263], [0.6918, 0.0014, 0.6922], [0.0008, 0.3035, 0.6954], [0.8740, 0.6367, 0.8716], [0.9993, 0.0001, 0.4995], [0.6776, 0.1151, 0.4993], [0.1260, 0.6379, 0.1259], [0.0006, 0.6955, 0.3040], [0.8860, 0.5002, 0.3225], [0.4995, 0.8860, 0.3201], [0.4989, 0.1151, 0.6785], [0.8855, 0.6778, 0.4990], [0.3040, 0.0016, 0.3049], [0.1583, 0.1477, 0.9969], [0.6784, 0.4996, 0.1134], [0.3243, 0.8866, 0.4994], [0.8851, 0.3212, 0.5001], [0.1151, 0.4990, 0.6804], [0.0001, 0.8524, 0.1682], [0.0043, 0.1586, 0.8447], [0.8724, 0.8735, 0.3639], [0.4997, 0.4992, 0.7430], [0.8435, 0.0049, 0.8424], [0.3630, 0.8721, 0.8721], [0.0014, 0.8469, 0.8351], [0.5001, 0.6763, 0.8870], [0.1256, 0.3582, 0.8749], [0.3642, 0.1249, 0.1273], [0.3220, 0.4995, 0.1132], [0.2603, 0.4994, 0.4997], [0.3225, 0.3222, 0.3221], [0.0003, 0.6916, 0.6905], [0.8866, 0.4990, 0.6756], [0.4998, 0.1150, 0.3231], [0.8737, 0.3638, 0.8721], [0.1259, 0.1265, 0.6361], [0.1262, 0.1278, 0.3638], [0.3216, 0.3216, 0.6784], [0.8718, 0.8734, 0.6364], [0.3215, 0.6771, 0.6776], [0.4996, 0.7399, 0.4991], [0.8728, 0.1262, 0.6375], [0.4999, 0.9984, 0.9997], [0.7397, 0.4996, 0.4995], [0.3020, 0.3000, 0.0006], [0.3596, 0.8742, 0.1270], [0.1148, 0.4998, 0.3207], [0.3218, 0.1154, 0.4998], [0.1136, 0.6748, 0.4988], [0.6987, 0.3014, 0.0010], [0.1250, 0.6413, 0.8736], [0.4996, 0.4992, 0.4992], [0.8516, 0.8460, 0.0036], [0.6779, 0.6775, 0.6776], [0.9997, 0.3048, 0.3047], [0.6378, 0.8726, 0.8723], [0.6776, 0.3213, 0.6782], [0.1524, 0.8513, 0.0030], [0.6940, 0.0005, 0.3044], [0.6406, 0.8733, 0.1259], [0.4994, 0.8864, 0.6768], [0.1277, 0.8734, 0.3654]]
}

***

{
  "formula": "Sm3Al12Ru4",
  "functional": "meta-GGA SCAN",
  "state": "single point on PBEsol structure",
  "final_energy_ev_per_atom": -20.0037,
  "ef_ev_per_atom": -0.76,
  "vol_a3_per_atom": 16.8,
  "lattice_angstrom": [[-0.8385, -6.2586, -6.0945], [7.9539, 3.0884, 2.0526], [0.8567, -6.7024, 6.7651]],
  "species": ["Al", "Al", "Al", "Al", "Al", "Al", "Al", "Al", "Al", "Sm", "Al", "Al", "Al", "Ru", "Sm", "Al", "Al", "Al", "Ru", "Ru", "Al", "Al", "Sm", "Ru", "Al", "Al", "Ru", "Ru", "Al", "Al", "Sm", "Ru", "Sm", "Sm", "Ru", "Al", "Al", "Al"],
  "fractional_positions": [[0.3250, 0.1625, 0.0758], [0.8375, 0.1625, 0.4242], [0.3333, 0.6667, 0.0128], [0.8770, 0.4385, 0.2500], [0.5615, 0.4385, 0.2500], [0.5615, 0.1230, 0.2500], [0.1625, 0.8375, 0.9242], [0.6667, 0.3333, 0.9872], [0.1625, 0.3250, 0.9242], [0.3848, 0.1924, 0.7500], [0.4385, 0.5615, 0.7500], [0.6750, 0.8375, 0.5758], [0.1625, 0.8375, 0.5758], [0.0000, 0.5000, 0.0000], [0.1924, 0.8076, 0.2500], [0.0000, 0.0000, 0.2500], [0.3333, 0.6667, 0.4872], [0.6750, 0.8375, 0.9242], [0.0000, 0.0000, 0.0000], [0.5000, 0.0000, 0.5000], [0.3250, 0.1625, 0.4242], [0.8375, 0.1625, 0.0758], [0.6152, 0.8076, 0.2500], [0.0000, 0.5000, 0.5000], [0.4385, 0.8770, 0.7500], [0.1230, 0.5615, 0.7500], [0.0000, 0.0000, 0.5000], [0.5000, 0.0000, 0.0000], [0.8375, 0.6750, 0.4242], [0.0000, 0.0000, 0.7500], [0.1924, 0.3848, 0.2500], [0.5000, 0.5000, 0.5000], [0.8076, 0.1924, 0.7500], [0.8076, 0.6152, 0.7500], [0.5000, 0.5000, 0.0000], [0.8375, 0.6750, 0.0758], [0.6667, 0.3333, 0.5128], [0.1625, 0.3250, 0.5758]]
}

***

{
  "formula": "AlSnRu3",
  "functional": "meta-GGA SCAN",
  "state": "single point on PBEsol structure",
  "final_energy_ev_per_atom": -28.8392,
  "ef_ev_per_atom": 0.79,
  "vol_a3_per_atom": 16.9,
  "lattice_angstrom": [[4.3854, 0.0000, 0.0000], [0.0000, 4.3854, 0.0000], [0.0000, 0.0000, 4.3854]],
  "species": ["Al", "Ru", "Ru", "Ru", "Sn"],
  "fractional_positions": [[0.0000, 0.0000, 0.0000], [0.5000, 0.0000, 0.0000], [0.0000, 0.5000, 0.0000], [0.0000, 0.0000, 0.5000], [0.5000, 0.5000, 0.5000]]
}

***

{
  "formula": "SrAlRu2",
  "functional": "meta-GGA SCAN",
  "state": "single point on PBEsol structure",
  "final_energy_ev_per_atom": -24.3645,
  "ef_ev_per_atom": 0.56,
  "vol_a3_per_atom": 16.9,
  "lattice_angstrom": [[2.8216, -0.0024, -0.0039], [-1.2365, 5.1836, -0.0160], [-1.2365, -2.3275, 4.6317]],
  "species": ["Ru", "Ru", "Al", "Sr"],
  "fractional_positions": [[0.0000, 0.5000, 0.0000], [0.0000, 0.0000, 0.5000], [0.5000, 0.5000, 0.5000], [0.5000, 0.0000, 0.0000]]
}

***

{
  "formula": "Ta2AlRu",
  "functional": "meta-GGA SCAN",
  "state": "single point on PBEsol structure",
  "final_energy_ev_per_atom": -44.1079,
  "ef_ev_per_atom": -0.17,
  "vol_a3_per_atom": 15.9,
  "lattice_angstrom": [[3.3524, 0.0000, 0.0000], [0.0000, 3.3524, 0.0000], [0.0000, 0.0000, 5.6664]],
  "species": ["Ru", "Al", "Ta", "Ta"],
  "fractional_positions": [[0.5000, 0.5000, 0.5000], [0.5000, 0.5000, 0.0000], [0.0000, 0.0000, 0.7433], [0.0000, 0.0000, 0.2567]]
}

***

{
  "formula": "TaAl2Ru",
  "functional": "meta-GGA SCAN",
  "state": "single point on PBEsol structure",
  "final_energy_ev_per_atom": -29.7636,
  "ef_ev_per_atom": -0.54,
  "vol_a3_per_atom": 14.8,
  "lattice_angstrom": [[-1.9165, 2.1800, 1.0698], [-1.9812, -0.6157, -2.2946], [-2.8132, -4.2210, 3.5616]],
  "species": ["Al", "Ru", "Ta", "Al"],
  "fractional_positions": [[0.0000, 0.0000, 0.0098], [0.0000, 0.0000, 0.4808], [0.5000, 0.5000, 0.7428], [0.5000, 0.5000, 0.2667]]
}

***

{
  "formula": "Ta2AlRu",
  "functional": "meta-GGA SCAN",
  "state": "single point on PBEsol structure",
  "final_energy_ev_per_atom": -44.3178,
  "ef_ev_per_atom": -0.38,
  "vol_a3_per_atom": 15.8,
  "lattice_angstrom": [[3.0543, 0.0000, 0.0000], [0.0000, 3.0543, 0.0000], [0.0000, 0.0000, 6.7839]],
  "species": ["Ta", "Al", "Ta", "Ru"],
  "fractional_positions": [[0.0000, 0.0000, 0.9698], [0.0000, 0.0000, 0.5271], [0.5000, 0.5000, 0.2601], [0.5000, 0.5000, 0.7431]]
}

***

{
  "formula": "Ta2AlRu",
  "functional": "meta-GGA SCAN",
  "state": "single point on PBEsol structure",
  "final_energy_ev_per_atom": -44.3700,
  "ef_ev_per_atom": -0.43,
  "vol_a3_per_atom": 15.6,
  "lattice_angstrom": [[3.1848, 0.0000, 0.0000], [0.0000, 4.3509, 0.0000], [-1.5924, -2.1755, 4.5173]],
  "species": ["Al", "Ru", "Ta", "Ta"],
  "fractional_positions": [[0.5000, 0.0000, 0.0000], [0.0000, 0.5000, 0.0000], [0.2630, 0.2630, 0.5260], [0.7370, 0.7370, 0.4740]]
}

***

{
  "formula": "Ta2AlRu",
  "functional": "meta-GGA SCAN",
  "state": "single point on PBEsol structure",
  "final_energy_ev_per_atom": -44.2000,
  "ef_ev_per_atom": -0.26,
  "vol_a3_per_atom": 15.7,
  "lattice_angstrom": [[-3.2568, 1.7696, -1.0219], [-1.8893, -1.8748, 2.7746], [3.4347, 3.2087, 1.8430]],
  "species": ["Ta", "Ta", "Al", "Ru"],
  "fractional_positions": [[0.2500, 0.7500, 0.5000], [0.7500, 0.2500, 0.5000], [0.5000, 0.5000, 0.0000], [0.0000, 0.0000, 0.0000]]
}

***

{
  "formula": "Ta2AlRu",
  "functional": "meta-GGA SCAN",
  "state": "single point on PBEsol structure",
  "final_energy_ev_per_atom": -44.2821,
  "ef_ev_per_atom": -0.35,
  "vol_a3_per_atom": 15.8,
  "lattice_angstrom": [[3.0484, 0.0000, 0.0000], [0.0000, 4.5494, -0.0940], [-1.5242, -2.1505, 4.6035]],
  "species": ["Ta", "Ta", "Al", "Ru"],
  "fractional_positions": [[0.7434, 0.2425, 0.4869], [0.9877, 0.9892, 0.9754], [0.5181, 0.5196, 0.0362], [0.2507, 0.7487, 0.5015]]
}

***

{
  "formula": "TaAl2Ru",
  "functional": "meta-GGA SCAN",
  "state": "single point on PBEsol structure",
  "final_energy_ev_per_atom": -29.4768,
  "ef_ev_per_atom": -0.25,
  "vol_a3_per_atom": 14.8,
  "lattice_angstrom": [[-3.9698, -0.4732, -1.7724], [-3.0797, -2.2771, 2.1107], [-3.4352, 2.0665, 1.7474]],
  "species": ["Ru", "Ta", "Al", "Al"],
  "fractional_positions": [[0.0000, 0.0000, 0.0000], [0.5000, 0.5000, 0.5000], [0.7500, 0.7500, 0.7500], [0.2500, 0.2500, 0.2500]]
}

***

{
  "formula": "TaAl2Ru",
  "functional": "meta-GGA SCAN",
  "state": "single point on PBEsol structure",
  "final_energy_ev_per_atom": -29.5041,
  "ef_ev_per_atom": -0.28,
  "vol_a3_per_atom": 15.0,
  "lattice_angstrom": [[-3.7215, -0.6660, -0.8192], [-0.4138, -1.8414, 3.3767], [1.0591, 4.7174, 0.4866]],
  "species": ["Al", "Ru", "Ta", "Al"],
  "fractional_positions": [[0.2500, 0.7500, 0.5000], [0.5000, 0.5000, 0.0000], [0.0000, 0.0000, 0.0000], [0.7500, 0.2500, 0.5000]]
}

***

{
  "formula": "Tb3Al12Ru4",
  "functional": "meta-GGA SCAN",
  "state": "single point on PBEsol structure",
  "final_energy_ev_per_atom": -20.3797,
  "ef_ev_per_atom": -0.77,
  "vol_a3_per_atom": 16.5,
  "lattice_angstrom": [[-2.1861, -8.3913, 1.0261], [2.8162, 4.6455, 6.8363], [-8.9444, 2.5674, 1.9399]],
  "species": ["Ru", "Al", "Al", "Al", "Ru", "Al", "Al", "Tb", "Ru", "Al", "Ru", "Al", "Ru", "Tb", "Al", "Tb", "Al", "Al", "Al", "Al", "Tb", "Al", "Al", "Al", "Tb", "Al", "Ru", "Al", "Al", "Al", "Tb", "Al", "Al", "Al", "Al", "Ru", "Al", "Ru"],
  "fractional_positions": [[0.0000, 0.0000, 0.5000], [0.3250, 0.1625, 0.5765], [0.8375, 0.6750, 0.9235], [0.4389, 0.5611, 0.2500], [0.5000, 0.5000, 0.0000], [0.0000, 0.0000, 0.2500], [0.1625, 0.8375, 0.0765], [0.6142, 0.8071, 0.7500], [0.0000, 0.5000, 0.5000], [0.6750, 0.8375, 0.4235], [0.0000, 0.5000, 0.0000], [0.1625, 0.8375, 0.4235], [0.5000, 0.0000, 0.0000], [0.3858, 0.1929, 0.2500], [0.0000, 0.0000, 0.7500], [0.1929, 0.8071, 0.7500], [0.4389, 0.8779, 0.2500], [0.1625, 0.3250, 0.4235], [0.8375, 0.1625, 0.5765], [0.8375, 0.6750, 0.5765], [0.8071, 0.6142, 0.2500], [0.1221, 0.5611, 0.2500], [0.3333, 0.6667, 0.9840], [0.6667, 0.3333, 0.4840], [0.8071, 0.1929, 0.2500], [0.3250, 0.1625, 0.9235], [0.0000, 0.0000, 0.0000], [0.3333, 0.6667, 0.5160], [0.5611, 0.1221, 0.7500], [0.1625, 0.3250, 0.0765], [0.1929, 0.3858, 0.7500], [0.5611, 0.4389, 0.7500], [0.6667, 0.3333, 0.0160], [0.6750, 0.8375, 0.0765], [0.8375, 0.1625, 0.9235], [0.5000, 0.5000, 0.5000], [0.8779, 0.4389, 0.7500], [0.5000, 0.0000, 0.5000]]
}

***

{
  "formula": "Al2TcRu",
  "functional": "meta-GGA SCAN",
  "state": "single point on PBEsol structure",
  "final_energy_ev_per_atom": -21.6288,
  "relative_energy_mev_per_atom": 0,
  "ef_ev_per_atom": -0.28,
  "vol_a3_per_atom": 13.8,
  "lattice_angstrom": [[-2.6990, 2.5545, 2.1180], [-4.1884, -0.8675, 0.0281], [-1.8750, -1.3763, 3.5897]],
  "species": ["Ru", "Tc", "Al", "Al"],
  "fractional_positions": [[0.5000, 0.5000, 0.5000], [0.2500, 0.2500, 0.2500], [0.7500, 0.7500, 0.7500], [0.0000, 0.0000, 0.0000]]
}

***

{
  "formula": "Al2TcRu",
  "functional": "meta-GGA SCAN",
  "state": "single point on PBEsol structure",
  "final_energy_ev_per_atom": -21.5904,
  "relative_energy_mev_per_atom": 38,
  "ef_ev_per_atom": -0.24,
  "vol_a3_per_atom": 14.4,
  "lattice_angstrom": [[-1.4674, 0.0876, 2.3649], [0.9082, -1.3608, 2.2533], [4.1659, 6.5256, 3.9824]],
  "species": ["Al", "Al", "Tc", "Ru"],
  "fractional_positions": [[0.7545, 0.7545, 0.7364], [0.9969, 0.9969, 0.0094], [0.2471, 0.2471, 0.2587], [0.5015, 0.5015, 0.4954]]
}

***

{
  "formula": "AlTeRu2",
  "functional": "meta-GGA SCAN",
  "state": "single point on PBEsol structure",
  "final_energy_ev_per_atom": -28.2559,
  "relative_energy_mev_per_atom": 397,
  "vol_a3_per_atom": 15.9,
  "raw_formation_energy_ev_per_fu": 1.63,
  "lattice_angstrom": [[4.4810, 0.0000, 0.0000], [2.2405, 3.8806, 0.0000], [2.2405, 1.2935, 3.6587]],
  "species": ["Al", "Ru", "Te", "Ru"],
  "fractional_positions": [[0.5000, 0.5000, 0.5000], [0.0000, 0.0000, 0.0000], [0.2500, 0.2500, 0.2500], [0.7500, 0.7500, 0.7500]]
}

***

{
  "formula": "Al2TeRu",
  "functional": "meta-GGA SCAN",
  "state": "single point on PBEsol structure",
  "final_energy_ev_per_atom": -21.9351,
  "vol_a3_per_atom": 17.6,
  "raw_formation_energy_ev_per_fu": -0.16,
  "lattice_angstrom": [[3.2692, 0.0000, 0.0000], [-1.6346, 4.2641, 0.0329], [0.0000, -1.2046, 5.0489]],
  "species": ["Ru", "Al", "Al", "Te"],
  "fractional_positions": [[0.0000, 0.0000, 0.5000], [0.2693, 0.5386, 0.3153], [0.7307, 0.4614, 0.6847], [0.5000, 0.0000, 0.0000]]
}

***

{
  "formula": "AlTeRu2",
  "functional": "meta-GGA SCAN",
  "state": "single point on PBEsol structure",
  "final_energy_ev_per_atom": -28.3887,
  "relative_energy_mev_per_atom": 264,
  "vol_a3_per_atom": 16.6,
  "raw_formation_energy_ev_per_fu": 1.10,
  "lattice_angstrom": [[3.0526, 0.0000, 0.0000], [1.5263, 2.6436, 0.0000], [1.5263, 0.8812, 8.2313]],
  "species": ["Ru", "Al", "Te", "Ru"],
  "fractional_positions": [[0.9974, 0.9974, 0.0079], [0.2606, 0.2606, 0.2181], [0.4939, 0.4939, 0.5184], [0.7482, 0.7482, 0.7555]]
}